Model P:
Compound: Na4BiPb
Source: Alexandria
Functional: PBE
Structure: relaxed

Calculated values
crystal system = monoclinic

a b c (Å): 9.4493 9.4493 5.6659
angles (deg): 105.87 105.87 55.37
Last column: nearest neighbours and their distance in Å.
Fractional positions:
1 Na 0.0764 0.6095 0.3343  2 Na 3.21-3.55, 1 Pb 3.40, 3 Bi 3.43-3.56
2 Na 0.1715 0.8285 0.0000  1 Na 3.01, 2 Pb 3.25, 2 Bi 3.31
3 Na 0.3119 0.3119 0.7693  2 Pb 3.17-3.54, 4 Na 3.21-3.55, 1 Bi 3.34
4 Na 0.3905 0.9236 0.6657  2 Na 3.21-3.55, 1 Pb 3.40, 3 Bi 3.43-3.56
5 Na 0.6095 0.0764 0.3343  2 Na 3.21-3.55, 1 Pb 3.40, 3 Bi 3.43-3.56
6 Na 0.6881 0.6881 0.2307  2 Pb 3.17-3.54, 4 Na 3.21-3.55, 1 Bi 3.34
7 Na 0.8285 0.1715 0.0000  1 Na 3.01, 2 Pb 3.25, 2 Bi 3.31
8 Na 0.9236 0.3905 0.6657  2 Na 3.21-3.55, 1 Pb 3.40, 3 Bi 3.43-3.56
9 Bi 0.1854 0.1854 0.1831  10 Na 3.31-3.61
10 Bi 0.8146 0.8146 0.8169  10 Na 3.31-3.61
11 Pb 0.4767 0.4767 0.2349  2 Pb 2.86-3.00, 1 Na 3.17
12 Pb 0.5233 0.5233 0.7651  2 Pb 2.86-3.00, 1 Na 3.17

Model Q:
Compound: Na4BiPb
Source: Alexandria
Functional: PBE
Structure: relaxed

Calculated values
crystal system = orthorhombic

a b c (Å): 9.9258 9.9258 5.3412
angles (deg): 90.00 90.00 139.63
Last column: nearest neighbours and their distance in Å.
Fractional positions:
1 Na 0.0417 0.4582 0.2500  5 Na 3.09-3.43
2 Na 0.2070 0.2904 0.2500  5 Na 3.09-3.44
3 Na 0.2904 0.2070 0.7500  5 Na 3.09-3.44
4 Na 0.4582 0.0417 0.7500  5 Na 3.09-3.43
5 Na 0.5418 0.9583 0.2500  5 Na 3.09-3.43
6 Na 0.7096 0.7930 0.2500  5 Na 3.09-3.44
7 Na 0.7930 0.7096 0.7500  5 Na 3.09-3.44
8 Na 0.9583 0.5418 0.7500  5 Na 3.09-3.43
9 Bi 0.3749 0.6251 0.7500  2 Pb 3.42, 12 Na 3.53-3.55
10 Bi 0.6251 0.3749 0.2500  2 Pb 3.42, 12 Na 3.53-3.55
11 Pb 0.1243 0.8757 0.2500  2 Bi 3.42, 12 Na 3.52-3.56
12 Pb 0.8757 0.1243 0.7500  2 Bi 3.42, 12 Na 3.52-3.56

What is the stability order? It is model Q, model P, from most stable to least stable.